[1]
This record from Alexandria describes an optimized crystal structure of PaPbN. The functional is PBE.

Structure (POSCAR):
```
PaPbN
1.0
-1.614 1.614 6.476
1.614 -1.614 6.476
1.614 1.614 -6.476
Pa Pb N
1 1 1
Direct
0.000 0.000 0.000
0.271 0.271 0.000
0.538 0.538 0.000
```

Output
For the density of states at the Fermi level, the calculation gives 3.1 states/eV/cell. Its magnetization is 0.3 μB/f.u. Its space group is No. 107. The energy relative to the elements, uncorrected is -640 meV/atom. As for the crystal system: tetragonal. Its energy above the most stable polymorph in this dataset is 0.374 eV/atom.



[2]
This record from Alexandria describes an optimized crystal structure of PaPbN2. The functional is PBE.

Structure (POSCAR):
```
PaPbN2
1.0
1.806 1.043 7.058
-1.806 1.043 7.058
0.000 -2.085 7.058
Pa Pb N
1 1 2
Direct
0.000 0.000 0.000
0.500 0.500 0.500
0.379 0.379 0.379
0.621 0.621 0.621
```

Output
For the density of states at the Fermi level, the calculation gives 0.6 states/eV/cell. Its magnetization is 0.0 μB/f.u. Its space group is No. 166. The energy relative to the elements, uncorrected is -935 meV/atom. As for the crystal system: trigonal. Its energy above the most stable polymorph in this dataset is 0.000 eV/atom.



[3]
This record from Alexandria describes an optimized crystal structure of PaPbN. The functional is PBE.

Structure (POSCAR):
```
PaPbN
1.0
3.789 0.000 0.000
-1.895 3.282 0.000
0.000 0.000 5.575
Pa Pb N
1 1 1
Direct
0.000 0.000 0.000
0.667 0.333 0.500
0.333 0.667 0.000
```

Output
For the density of states at the Fermi level, the calculation gives 1.5 states/eV/cell. Its magnetization is 0.0 μB/f.u. Its space group is No. 187. The energy relative to the elements, uncorrected is -803 meV/atom. As for the crystal system: hexagonal. Its energy above the most stable polymorph in this dataset is 0.212 eV/atom.



[4]
This record from Alexandria describes an optimized crystal structure of PaPbN. The functional is PBE.

Structure (POSCAR):
```
PaPbN
1.0
4.045 0.000 0.000
0.000 4.045 0.000
0.000 0.000 7.901
Pa Pb N
2 2 2
Direct
0.250 0.250 0.139
0.750 0.750 0.861
0.250 0.250 0.594
0.750 0.750 0.406
0.250 0.750 0.000
0.750 0.250 0.000
```

Output
For the density of states at the Fermi level, the calculation gives 7.5 states/eV/cell. Its magnetization is 0.7 μB/f.u. Its space group is No. 129. The energy relative to the elements, uncorrected is -1014 meV/atom. As for the crystal system: tetragonal. Its energy above the most stable polymorph in this dataset is 0.000 eV/atom.